[1]
{"formula": "Fe", "functional": "GGA-PBE", "state": "relaxed", "n_ef_per_ev_atom": 1.671, "e_above_lowest_polymorph_ev_per_atom": 0.154, "rho_g_cm3": 8.6, "total_magnetization_mub_per_atom": 0.357, "cell": [[12.196, 0.000, 0.000], [0.000, 2.512, 0.000], [0.000, 0.000, 4.224]], "species": ["Fe", "Fe", "Fe", "Fe", "Fe", "Fe", "Fe", "Fe", "Fe", "Fe", "Fe", "Fe"], "fractional_positions": [[0.835, 0.000, 0.140], [0.165, 0.000, 0.140], [0.835, 0.500, 0.640], [0.165, 0.500, 0.640], [0.335, 0.000, 0.640], [0.665, 0.000, 0.640], [0.335, 0.500, 0.140], [0.665, 0.500, 0.140], [0.000, 0.000, 0.471], [0.000, 0.500, 0.971], [0.500, 0.000, 0.971], [0.500, 0.500, 0.471]]}

[2]
{"formula": "Li8Tl3Pb2", "functional": "GGA-PBE", "state": "relaxed", "n_ef_per_ev_atom": 0.322, "e_above_lowest_polymorph_ev_per_atom": 0.000, "rho_g_cm3": 6.5, "total_magnetization_mub_per_atom": 0.000, "cell": [[5.040, 0.275, 0.905], [1.336, 7.299, 1.859], [0.745, -0.707, 7.580]], "species": ["Li", "Li", "Li", "Li", "Li", "Li", "Li", "Li", "Tl", "Tl", "Tl", "Pb", "Pb"], "fractional_positions": [[0.220, 0.570, 0.570], [0.780, 0.430, 0.430], [0.936, 0.160, 0.160], [0.064, 0.840, 0.840], [0.643, 0.597, 0.087], [0.643, 0.087, 0.597], [0.357, 0.913, 0.403], [0.357, 0.403, 0.913], [0.500, 0.000, 0.000], [0.000, 0.247, 0.753], [0.000, 0.753, 0.247], [0.360, 0.305, 0.305], [0.640, 0.695, 0.695]]}

[3]
{"formula": "Pu2Ga3Pt5", "functional": "GGA-PBE", "state": "relaxed", "n_ef_per_ev_atom": 2.482, "e_above_lowest_polymorph_ev_per_atom": 0.027, "rho_g_cm3": 15.2, "total_magnetization_mub_per_atom": 1.026, "cell": [[4.212, 0.000, -0.717], [0.000, 6.918, 0.002], [-0.033, -0.003, 12.529]], "species": ["Pu", "Pu", "Pu", "Pu", "Ga", "Ga", "Ga", "Ga", "Ga", "Ga", "Pt", "Pt", "Pt", "Pt", "Pt", "Pt", "Pt", "Pt", "Pt", "Pt"], "fractional_positions": [[0.477, 0.748, 0.955], [0.178, 0.737, 0.356], [0.822, 0.237, 0.644], [0.523, 0.248, 0.045], [0.783, 0.679, 0.565], [0.603, 0.586, 0.205], [0.059, 0.934, 0.119], [0.217, 0.179, 0.435], [0.941, 0.434, 0.881], [0.397, 0.086, 0.795], [0.385, 0.474, 0.770], [0.272, 0.485, 0.543], [0.728, 0.985, 0.457], [0.117, 0.258, 0.234], [0.307, 0.906, 0.613], [0.957, 0.057, 0.914], [0.693, 0.406, 0.387], [0.883, 0.758, 0.766], [0.043, 0.557, 0.086], [0.615, 0.974, 0.230]]}